Entry from Alexandria via LeMat-Bulk: an optimized crystal structure of Cr2WBr (PBE-GGA).

Calculated values
offset from the most stable computed form	352	meV per atom
final energy	-7.704	eV per atom

Cell lengths 3.058, 4.862, 9.082 Å; angles 90.00, 90.00, 90.00 degrees
Space group Cmm2 (No. 35)
Asymmetric unit:
Cr  0.000  0.000  0.000
Cr  0.000  0.500  0.208
W  0.000  0.500  0.792
Br  0.000  0.000  0.432



Entry from Alexandria via LeMat-Bulk: an optimized crystal structure of CrW3Br (PBE-GGA).

Calculated values
offset from the most stable computed form	528	meV per atom
final energy	-7.539	eV per atom

Cell lengths 4.548, 4.548, 4.548 Å; angles 90.00, 90.00, 90.00 degrees
Space group Pm-3m (No. 221)
Asymmetric unit:
Cr  0.000  0.000  0.000
W  0.000  0.500  0.500
Br  0.500  0.500  0.500



Entry from Alexandria via LeMat-Bulk: an optimized crystal structure of Cr2WBr (PBE-GGA).

Calculated values
offset from the most stable computed form	587	meV per atom
final energy	-7.468	eV per atom

Cell lengths 2.954, 4.490, 8.573 Å; angles 90.00, 90.00, 90.00 degrees
Space group Immm (No. 71)
Asymmetric unit:
Cr  0.000  0.000  0.240
W  0.000  0.500  0.000
Br  0.000  0.500  0.500



Entry from Alexandria via LeMat-Bulk: an optimized crystal structure of CrW2Br (PBE-GGA).

Calculated values
offset from the most stable computed form	159	meV per atom
final energy	-8.604	eV per atom

Cell lengths 3.183, 4.893, 9.009 Å; angles 90.00, 90.00, 90.00 degrees
Space group Cmm2 (No. 35)
Asymmetric unit:
Cr  0.000  0.000  0.000
W  0.000  0.000  0.544
W  0.000  0.500  0.772
Br  0.000  0.500  0.224



Entry from Alexandria via LeMat-Bulk: an optimized crystal structure of CrW2Br (PBE-GGA).

Calculated values
offset from the most stable computed form	0	meV per atom
final energy	-8.762	eV per atom

Cell lengths 3.213, 3.119, 7.403 Å; angles 90.00, 90.15, 90.00 degrees
Space group Pm (No. 6)
Asymmetric unit:
Cr  0.000  0.000  0.000
W  0.002  0.000  0.393
W  0.501  0.500  0.193
Br  0.010  0.500  0.691



Entry from Alexandria via LeMat-Bulk: an optimized crystal structure of Cr2WBr (PBE-GGA).

Calculated values
offset from the most stable computed form	281	meV per atom
final energy	-7.775	eV per atom

Cell lengths 3.0570, 3.0570, 24.5502 Å; angles 90.00, 90.00, 120.00 degrees
Space group R3m (No. 160, hexagonal axes)
Asymmetric unit:
Cr  0.0000  0.0000  0.0000
Cr  0.0000  0.0000  0.2568
W  0.0000  0.0000  0.5218
Br  0.0000  0.0000  0.7445



Entry from Alexandria via LeMat-Bulk: an optimized crystal structure of CrW2Br (PBE-GGA).

Calculated values
offset from the most stable computed form	176	meV per atom
final energy	-8.586	eV per atom

Cell lengths 2.994, 2.994, 7.053 Å; angles 90.00, 90.00, 90.00 degrees
Space group P4/mmm (No. 123)
Asymmetric unit:
Cr  0.000  0.000  0.000
W  0.500  0.500  0.214
Br  0.000  0.000  0.500



Entry from Alexandria via LeMat-Bulk: an optimized crystal structure of CrWBr4 (PBE-GGA).

Calculated values
final energy	-3.230	eV per atom

Cell lengths 8.771, 8.771, 8.771 Å; angles 90.00, 90.00, 90.00 degrees
Space group F-43m (No. 216)
Asymmetric unit:
Cr  0.000  0.000  0.000
W  0.250  0.250  0.750
Br  0.125  0.125  0.375



Entry from Alexandria via LeMat-Bulk: an optimized crystal structure of CrW2Br (PBE-GGA).

Calculated values
offset from the most stable computed form	707	meV per atom
final energy	-8.055	eV per atom

Cell lengths 4.516, 4.516, 6.226 Å; angles 90.00, 90.00, 90.00 degrees
Space group I-4m2 (No. 119)
Asymmetric unit:
Cr  0.000  0.000  0.000
W  0.000  0.000  0.500
W  0.000  0.500  0.250
Br  0.000  0.500  0.750



Entry from Alexandria via LeMat-Bulk: an optimized crystal structure of CrW2Br (PBE-GGA).

Calculated values
offset from the most stable computed form	139	meV per atom
final energy	-8.623	eV per atom

Cell lengths 3.0142, 3.0142, 25.1046 Å; angles 90.00, 90.00, 120.00 degrees
Space group R3m (No. 160, hexagonal axes)
Asymmetric unit:
Cr  0.0000  0.0000  0.0000
W  0.0000  0.0000  0.2620
W  0.0000  0.0000  0.5075
Br  0.0000  0.0000  0.7530



Entry from Alexandria via LeMat-Bulk: an optimized crystal structure of Cr2WBr (PBE-GGA).

Calculated values
offset from the most stable computed form	769	meV per atom
final energy	-7.287	eV per atom

Cell lengths 6.915, 6.915, 5.670 Å; angles 90.00, 90.00, 90.00 degrees
Space group I-42d (No. 122)
Asymmetric unit:
Cr  0.248  0.250  0.125
W  0.000  0.000  0.500
Br  0.000  0.000  0.000



Entry from Alexandria via LeMat-Bulk: an optimized crystal structure of Cr2WBr (PBE-GGA).

Calculated values
offset from the most stable computed form	504	meV per atom
final energy	-7.551	eV per atom

Cell lengths 4.394, 4.394, 2.982 Å; angles 90.00, 90.00, 90.00 degrees
Space group P4/mmm (No. 123)
Asymmetric unit:
Cr  0.000  0.500  0.000
W  0.000  0.000  0.500
Br  0.500  0.500  0.500



Entry from Alexandria via LeMat-Bulk: an optimized crystal structure of CrW2Br (PBE-GGA).

Calculated values
offset from the most stable computed form	240	meV per atom
final energy	-8.523	eV per atom

Cell lengths 2.9859, 2.9859, 25.1797 Å; angles 90.00, 90.00, 120.00 degrees
Space group R-3m (No. 166, hexagonal axes)
Asymmetric unit:
Cr  0.0000  0.0000  0.0000
W  0.0000  0.0000  0.2577
Br  0.0000  0.0000  0.5000



Entry from Alexandria via LeMat-Bulk: an optimized crystal structure of CrW2Br2 (PBE-GGA).

Calculated values
offset from the most stable computed form	0	meV per atom
final energy	-6.269	eV per atom

Cell lengths 4.132, 4.132, 12.139 Å; angles 90.00, 90.00, 90.00 degrees
Space group I4/mmm (No. 139)
Asymmetric unit:
Cr  0.000  0.000  0.000
W  0.000  0.500  0.250
Br  0.000  0.000  0.376



Entry from Alexandria via LeMat-Bulk: an optimized crystal structure of CrWBr (PBE-GGA).

Calculated values
offset from the most stable computed form	106	meV per atom
final energy	-7.446	eV per atom

Cell lengths 12.069, 3.054, 3.165 Å; angles 90.00, 104.10, 90.00 degrees
Space group Cm (No. 8)
Asymmetric unit:
Cr  0.000  0.000  0.000
W  0.107  0.500  0.637
Br  0.296  0.000  0.838



Entry from Alexandria via LeMat-Bulk: an optimized crystal structure of CrW2Br (PBE-GGA).

Calculated values
offset from the most stable computed form	496	meV per atom
final energy	-8.266	eV per atom

Cell lengths 4.498, 3.038, 4.679 Å; angles 90.00, 90.68, 90.00 degrees
Space group P2/m (No. 10)
Asymmetric unit:
Cr  0.000  0.000  0.000
W  0.000  0.500  0.500
W  0.500  0.000  0.500
Br  0.500  0.500  0.000



Entry from Alexandria via LeMat-Bulk: an optimized crystal structure of CrW2Br (PBE-GGA).

Calculated values
offset from the most stable computed form	462	meV per atom
final energy	-8.300	eV per atom

Cell lengths 2.982, 4.543, 9.035 Å; angles 90.00, 90.00, 90.00 degrees
Space group Imm2 (No. 44)
Asymmetric unit:
Cr  0.000  0.000  0.000
W  0.000  0.000  0.524
W  0.000  0.500  0.738
Br  0.000  0.500  0.277



Entry from Alexandria via LeMat-Bulk: an optimized crystal structure of Cr2WBr (PBE-GGA).

Calculated values
offset from the most stable computed form	554	meV per atom
final energy	-7.502	eV per atom

Cell lengths 3.021, 4.273, 4.681 Å; angles 90.00, 90.00, 90.00 degrees
Space group Pmmm (No. 47)
Asymmetric unit:
Cr  0.000  0.000  0.000
Cr  0.500  0.000  0.500
W  0.000  0.500  0.500
Br  0.500  0.500  0.000



Entry from Alexandria via LeMat-Bulk: an optimized crystal structure of CrW2Br (PBE-GGA).

Calculated values
offset from the most stable computed form	434	meV per atom
final energy	-8.328	eV per atom

Cell lengths 9.551, 3.030, 4.697 Å; angles 90.00, 110.50, 90.00 degrees
Space group Cm (No. 8)
Asymmetric unit:
Cr  0.000  0.000  0.000
W  0.007  0.500  0.425
W  0.228  0.500  0.137
Br  0.268  0.000  0.709



Entry from Alexandria via LeMat-Bulk: an optimized crystal structure of Cr2WBr (PBE-GGA).

Calculated values
offset from the most stable computed form	488	meV per atom
final energy	-7.567	eV per atom

Cell lengths 2.997, 4.293, 9.098 Å; angles 90.00, 90.00, 90.00 degrees
Space group Imm2 (No. 44)
Asymmetric unit:
Cr  0.000  0.000  0.000
Cr  0.000  0.500  0.255
W  0.000  0.500  0.766
Br  0.000  0.000  0.525